Entry 1:
! Nb4BiS8 (PBE, relaxed); values from VASP
&SYSTEM
  ibrav = 0, nat = 13, ntyp = 3
/
ATOMIC_SPECIES
Nb 92.91 Nb.upf
S 32.06 S.upf
Bi 208.98 Bi.upf
ATOMIC_POSITIONS crystal
Nb 0.937 0.354 0.354
Nb 0.354 0.354 0.354
Nb 0.354 0.937 0.354
Nb 0.354 0.354 0.937
S 0.604 0.604 0.604
S 0.122 0.122 0.634
S 0.634 0.122 0.122
S 0.122 0.634 0.122
S 0.122 0.122 0.122
S 0.604 0.604 0.188
S 0.604 0.188 0.604
S 0.188 0.604 0.604
Bi 0.750 0.750 0.750
CELL_PARAMETERS angstrom
7.358 0.000 0.000
3.679 6.372 0.000
3.679 2.124 6.008
! **Symmetry**: F-43m, No. 216
! **E**: -6.796 eV per atom
! **V**: 21.67 Å³ per atom
! **E_form (uncorrected)**: -0.859 eV/atom
! **Fermi-level density of states**: 6.9 states/eV/f.u.

Entry 2:
! Np2Pd17 (PBE, relaxed); values from VASP
&SYSTEM
  ibrav = 0, nat = 19, ntyp = 2
/
ATOMIC_SPECIES
Pd 106.42 Pd.upf
Np 237.00 Np.upf
ATOMIC_POSITIONS crystal
Pd 0.000 0.308 0.692
Pd 0.899 0.899 0.899
Pd 0.350 0.350 0.840
Pd 0.692 0.308 0.000
Pd 0.840 0.350 0.350
Pd 0.692 0.000 0.308
Pd 0.000 0.500 0.000
Pd 0.650 0.160 0.650
Pd 0.500 0.000 0.000
Pd 0.308 0.692 0.000
Pd 0.160 0.650 0.650
Pd 0.350 0.840 0.350
Pd 0.000 0.692 0.308
Pd 0.308 0.000 0.692
Pd 0.000 0.000 0.500
Pd 0.650 0.650 0.160
Pd 0.101 0.101 0.101
Np 0.325 0.325 0.325
Np 0.675 0.675 0.675
CELL_PARAMETERS angstrom
-2.449 5.521 3.440
-5.885 0.851 -3.599
-4.275 -3.370 4.322
! **Symmetry**: R-3m, No. 166
! **E**: -6.129 eV per atom
! **V**: 17.20 Å³ per atom
! **Fermi-level density of states**: 41.0 states/eV/f.u.

Entry 3:
! K2CoPt (PBE, relaxed); values from VASP
&SYSTEM
  ibrav = 0, nat = 4, ntyp = 3
/
ATOMIC_SPECIES
K 39.10 K.upf
Co 58.93 Co.upf
Pt 195.08 Pt.upf
ATOMIC_POSITIONS crystal
K 0.000 0.000 0.910
K 0.500 0.500 0.345
Co 0.500 0.500 0.651
Pt 0.000 0.000 0.595
CELL_PARAMETERS angstrom
2.962 0.000 0.000
0.000 3.986 0.000
0.000 0.000 9.827
! **Symmetry**: Pmm2, No. 25
! **E**: -3.546 eV per atom
! **V**: 29.00 Å³ per atom
! **ΔE to the lowest computed polymorph**: 0.1067 eV per atom
! **Fermi-level density of states**: 3.9 states/eV/f.u.

Entry 4:
! RbWN3 (PBE, relaxed); values from VASP
&SYSTEM
  ibrav = 0, nat = 5, ntyp = 3
/
ATOMIC_SPECIES
W 183.84 W.upf
N 14.01 N.upf
Rb 85.47 Rb.upf
ATOMIC_POSITIONS crystal
W 0.500 0.500 0.500
N 0.500 0.000 0.000
N 0.000 0.000 0.500
N 0.000 0.500 0.000
Rb 0.000 0.000 0.000
CELL_PARAMETERS angstrom
4.064 0.000 0.000
0.000 4.064 0.000
0.000 0.000 4.064
! **Symmetry**: Pm-3m, No. 221
! **E**: -3.916 eV per atom
! **V**: 13.42 Å³ per atom
! **E_form (uncorrected)**: 3.864 eV/atom
! **Fermi-level density of states**: 6.6 states/eV/f.u.

Entry 5:
! LiTb2Pd5 (PBE, relaxed); values from VASP
&SYSTEM
  ibrav = 0, nat = 8, ntyp = 3
/
ATOMIC_SPECIES
Li 6.94 Li.upf
Pd 106.42 Pd.upf
Tb 158.93 Tb.upf
ATOMIC_POSITIONS crystal
Li 0.221 0.221 0.442
Pd 0.222 0.222 0.944
Pd 0.722 0.722 0.945
Pd 0.722 0.222 0.945
Pd 0.723 0.723 0.445
Pd 0.222 0.722 0.945
Tb 0.722 0.222 0.445
Tb 0.222 0.722 0.445
CELL_PARAMETERS angstrom
5.950 -0.001 0.001
-0.001 5.950 0.001
-2.974 -2.974 3.975
! **Symmetry**: I4mm, No. 107
! **E**: -5.466 eV per atom
! **V**: 17.59 Å³ per atom
! **Fermi-level density of states**: 2.2 states/eV/f.u.

Entry 6:
! Ba2CeBr8 (PBE, relaxed); values from VASP
&SYSTEM
  ibrav = 0, nat = 11, ntyp = 3
/
ATOMIC_SPECIES
Ba 137.33 Ba.upf
Br 79.90 Br.upf
Ce 140.12 Ce.upf
ATOMIC_POSITIONS crystal
Ba 0.140 0.456 0.281
Ba 0.860 0.544 0.719
Br 0.273 0.730 0.036
Br 0.727 0.270 0.964
Br 0.314 0.565 0.628
Br 0.162 0.046 0.323
Br 0.838 0.954 0.677
Br 0.763 0.730 0.036
Br 0.686 0.435 0.372
Br 0.237 0.270 0.964
Ce 0.000 0.000 0.000
CELL_PARAMETERS angstrom
6.201 0.000 -2.954
0.068 8.072 0.143
0.564 0.170 9.170
! **Symmetry**: C2/m, No. 12
! **E**: -3.966 eV per atom
! **V**: 42.94 Å³ per atom
! **ΔE to the lowest computed polymorph**: 0.0000 eV per atom
! **E_form (uncorrected)**: -1.860 eV/atom

Entry 7:
! Ce2Dy3Tl6 (PBE, relaxed); values from VASP
&SYSTEM
  ibrav = 0, nat = 11, ntyp = 3
/
ATOMIC_SPECIES
Tl 204.38 Tl.upf
Ce 140.12 Ce.upf
Dy 162.50 Dy.upf
ATOMIC_POSITIONS crystal
Tl 0.695 0.695 0.391
Tl 0.618 0.118 0.235
Tl 0.382 0.882 0.765
Tl 0.882 0.382 0.765
Tl 0.305 0.305 0.609
Tl 0.118 0.618 0.235
Ce 0.542 0.542 0.085
Ce 0.458 0.458 0.915
Dy 0.000 0.000 0.000
Dy 0.203 0.203 0.407
Dy 0.797 0.797 0.593
CELL_PARAMETERS angstrom
-1.714 -1.542 -4.020
3.430 -3.104 -0.271
-9.366 -7.730 9.630
! **Symmetry**: I4/mmm, No. 139
! **E**: -3.649 eV per atom
! **V**: 29.57 Å³ per atom
! **Fermi-level density of states**: 14.6 states/eV/f.u.

Entry 8:
! NaNbH4 (PBE, relaxed); values from VASP
&SYSTEM
  ibrav = 0, nat = 12, ntyp = 3
/
ATOMIC_SPECIES
H 1.01 H.upf
Na 22.99 Na.upf
Nb 92.91 Nb.upf
ATOMIC_POSITIONS crystal
H 0.808 0.761 0.707
H 0.377 0.697 0.883
H 0.623 0.303 0.117
H 0.994 0.814 0.117
H 0.006 0.186 0.883
H 0.601 0.055 0.293
H 0.399 0.945 0.707
H 0.192 0.239 0.293
Na 0.603 0.353 0.705
Na 0.397 0.647 0.295
Nb 0.753 0.003 0.007
Nb 0.247 0.997 0.993
CELL_PARAMETERS angstrom
4.899 -0.097 -1.584
-2.291 5.010 -2.304
0.015 -0.046 5.876
! **Symmetry**: C2/c, No. 15
! **E**: -4.209 eV per atom
! **V**: 11.86 Å³ per atom
! **Fermi-level density of states**: 1.4 states/eV/f.u.

Entry 9:
! Li2Tb (PBE, relaxed); values from VASP
&SYSTEM
  ibrav = 0, nat = 3, ntyp = 2
/
ATOMIC_SPECIES
Li 6.94 Li.upf
Tb 158.93 Tb.upf
ATOMIC_POSITIONS crystal
Li 0.309 0.309 0.618
Li 0.691 0.691 0.382
Tb 0.000 0.000 0.000
CELL_PARAMETERS angstrom
3.629 0.000 0.000
0.000 3.629 0.000
-1.814 -1.814 5.397
! **Symmetry**: I4/mmm, No. 139
! **E**: -2.684 eV per atom
! **V**: 23.69 Å³ per atom
! **ΔE to the lowest computed polymorph**: 0.0186 eV per atom
! **Fermi-level density of states**: 2.5 states/eV/f.u.

Entry 10:
! NaFeNiC2 (PBE, relaxed); values from VASP
&SYSTEM
  ibrav = 0, nat = 5, ntyp = 4
/
ATOMIC_SPECIES
Fe 55.84 Fe.upf
Ni 58.69 Ni.upf
Na 22.99 Na.upf
C 12.01 C.upf
ATOMIC_POSITIONS crystal
Fe 0.500 0.500 0.500
Ni 0.000 0.000 0.000
Na 0.000 0.500 0.000
C 0.500 0.000 0.000
C 0.000 0.000 0.500
CELL_PARAMETERS angstrom
-2.727 -2.203 1.341
2.923 -3.491 0.210
0.925 0.985 3.501
! **Symmetry**: P4/mmm, No. 123
! **E**: -4.936 eV per atom
! **V**: 12.84 Å³ per atom
! **Fermi-level density of states**: 5.9 states/eV/f.u.

Entry 11:
! LiNdF2 (PBE, relaxed); values from VASP
&SYSTEM
  ibrav = 0, nat = 4, ntyp = 3
/
ATOMIC_SPECIES
Li 6.94 Li.upf
F 19.00 F.upf
Nd 144.24 Nd.upf
ATOMIC_POSITIONS crystal
Li 0.500 0.500 0.500
F 0.885 0.885 0.345
F 0.115 0.115 0.655
Nd 0.000 0.000 0.000
CELL_PARAMETERS angstrom
3.512 0.000 0.000
1.756 3.041 0.000
1.756 1.014 6.600
! **Symmetry**: R-3m, No. 166
! **E**: -5.129 eV per atom
! **V**: 17.62 Å³ per atom
! **E_form (uncorrected)**: -2.523 eV/atom
! **Fermi-level density of states**: 0.6 states/eV/f.u.

Entry 12:
! TaTcSe (PBE, relaxed); values from VASP
&SYSTEM
  ibrav = 0, nat = 3, ntyp = 3
/
ATOMIC_SPECIES
Ta 180.95 Ta.upf
Se 78.96 Se.upf
Tc 98.00 Tc.upf
ATOMIC_POSITIONS crystal
Ta 0.667 0.333 0.344
Se 0.000 0.000 0.023
Tc 0.333 0.667 0.633
CELL_PARAMETERS angstrom
3.226 0.000 0.000
-1.613 2.793 0.000
0.000 0.000 6.120
! **Symmetry**: P3m1, No. 156
! **E**: -8.561 eV per atom
! **V**: 18.38 Å³ per atom
! **ΔE to the lowest computed polymorph**: 0.0883 eV per atom
! **E_form (uncorrected)**: 0.007 eV/atom
! **Fermi-level density of states**: 2.5 states/eV/f.u.

What did the eleventh record say?
! LiNdF2 (PBE, relaxed); values from VASP
&SYSTEM
  ibrav = 0, nat = 4, ntyp = 3
/
ATOMIC_SPECIES
Li 6.94 Li.upf
F 19.00 F.upf
Nd 144.24 Nd.upf
ATOMIC_POSITIONS crystal
Li 0.500 0.500 0.500
F 0.885 0.885 0.345
F 0.115 0.115 0.655
Nd 0.000 0.000 0.000
CELL_PARAMETERS angstrom
3.512 0.000 0.000
1.756 3.041 0.000
1.756 1.014 6.600
! **Symmetry**: R-3m, No. 166
! **E**: -5.129 eV per atom
! **V**: 17.62 Å³ per atom
! **E_form (uncorrected)**: -2.523 eV/atom
! **Fermi-level density of states**: 0.6 states/eV/f.u.

Copy entry 3 word for word.
! K2CoPt (PBE, relaxed); values from VASP
&SYSTEM
  ibrav = 0, nat = 4, ntyp = 3
/
ATOMIC_SPECIES
K 39.10 K.upf
Co 58.93 Co.upf
Pt 195.08 Pt.upf
ATOMIC_POSITIONS crystal
K 0.000 0.000 0.910
K 0.500 0.500 0.345
Co 0.500 0.500 0.651
Pt 0.000 0.000 0.595
CELL_PARAMETERS angstrom
2.962 0.000 0.000
0.000 3.986 0.000
0.000 0.000 9.827
! **Symmetry**: Pmm2, No. 25
! **E**: -3.546 eV per atom
! **V**: 29.00 Å³ per atom
! **ΔE to the lowest computed polymorph**: 0.1067 eV per atom
! **Fermi-level density of states**: 3.9 states/eV/f.u.